*P*
The following is a meta-GGA SCAN calculation of Sb2PBr at its PBEsol-relaxed geometry, from Alexandria via LeMat-Bulk.

The space group is P4/mmm (No. 123) and the conventional cell measures 3.496, 3.496 and 7.566 Å, with angles of 90.00, 90.00 and 90.00 degrees. The distinct sites, in fractional coordinates, are Sb at (0.000, 0.000, 0.199), P at (0.500, 0.500, 0.000) and Br at (0.500, 0.500, 0.500).

The calculated volume comes out at 23.12 Å³ per atom.


*Q*
The following is a meta-GGA SCAN calculation of Sb2PBr at its PBEsol-relaxed geometry, from Alexandria via LeMat-Bulk.

The space group is Cmmm (No. 65) and the conventional cell measures 3.612, 5.887 and 8.909 Å, with angles of 90.00, 90.00 and 90.00 degrees. The distinct sites, in fractional coordinates, are Sb at (0.000, 0.000, 0.223), P at (0.000, 0.500, 0.000) and Br at (0.000, 0.500, 0.500).

The calculated volume comes out at 23.68 Å³ per atom.


Least stable of them? *Q*.


*P*
The following is a meta-GGA SCAN calculation of Mn2IrPt at its PBEsol-relaxed geometry, from Alexandria via LeMat-Bulk.

The space group is F-43m (No. 216) and the conventional cell measures 6.029, 6.029 and 6.029 Å, with angles of 90.00, 90.00 and 90.00 degrees. The distinct sites, in fractional coordinates, are Mn at (0.000, 0.000, 0.000), Mn at (0.250, 0.250, 0.250), Ir at (0.000, 0.000, 0.500) and Pt at (0.250, 0.250, 0.750).

The calculated volume comes out at 13.70 Å³ per atom.


*Q*
The following is a meta-GGA SCAN calculation of Mn2IrPt at its PBEsol-relaxed geometry, from Alexandria via LeMat-Bulk.

The space group is P4/mmm (No. 123) and the conventional cell measures 2.640, 2.640 and 7.336 Å, with angles of 90.00, 90.00 and 90.00 degrees. The distinct sites, in fractional coordinates, are Mn at (0.000, 0.000, 0.243), Ir at (0.500, 0.500, 0.000) and Pt at (0.500, 0.500, 0.500).

The calculated volume comes out at 12.78 Å³ per atom.


Least stable of them? *P*.